Record 1
Below is an optimized crystal structure of SiSb2Cl, with properties calculated at the PBE level.

Computed properties:
Fermi-level density of states in states/eV/f.u.: 2.32
Total DFT energy (no corrections) in eV/atom: -3.63
Energy above the most stable polymorph in this dataset in meV per atom: 215.7

The structure in CIF format:
```
data_SiSb2Cl
_chemical_formula_sum 'Si1 Sb2 Cl1'
_cell_length_a 5.2645
_cell_length_b 3.1851
_cell_length_c 5.7909
_cell_angle_alpha 90.00
_cell_angle_beta 97.15
_cell_angle_gamma 90.00
_space_group_name_H-M_alt 'P 1 2/m 1'
_space_group_IT_number 10
loop_
_space_group_symop_operation_xyz
'x,y,z'
'-x,-y,-z'
'-x,y,-z'
'x,-y,z'
loop_
_atom_site_label
_atom_site_type_symbol
_atom_site_fract_x
_atom_site_fract_y
_atom_site_fract_z
_atom_site_occupancy
Si1 Si 0.0000 0.0000 0.0000 1
Sb1 Sb 0.0000 0.0000 0.5000 1
Sb2 Sb 0.5000 0.5000 0.0000 1
Cl1 Cl 0.5000 0.5000 0.5000 1
```


Record 2
Below is an optimized crystal structure of Na3Tb2SnO6, with properties calculated at the PBE level.

Computed properties:
Fermi-level density of states in states/eV/f.u.: 4.86
Total DFT energy (no corrections) in eV/atom: -6.20

The structure in CIF format:
```
data_Na3Tb2SnO6
_chemical_formula_sum 'Na6 Tb4 Sn2 O12'
_cell_length_a 5.9439
_cell_length_b 10.2901
_cell_length_c 5.9596
_cell_angle_alpha 90.00
_cell_angle_beta 109.36
_cell_angle_gamma 90.00
_space_group_name_H-M_alt 'C 1 2/m 1'
_space_group_IT_number 12
loop_
_space_group_symop_operation_xyz
'x,y,z'
'-x,-y,-z'
'-x,y,-z'
'x,-y,z'
'x+1/2,y+1/2,z'
'-x+1/2,-y+1/2,-z'
'-x+1/2,y+1/2,-z'
'x+1/2,-y+1/2,z'
loop_
_atom_site_label
_atom_site_type_symbol
_atom_site_fract_x
_atom_site_fract_y
_atom_site_fract_z
_atom_site_occupancy
Na1 Na 0.0000 0.0000 0.0000 1
Na2 Na 0.0000 0.3396 0.0000 1
Tb1 Tb 0.0000 0.1670 0.5000 1
Sn1 Sn 0.0000 0.5000 0.5000 1
O1 O 0.2377 0.0000 0.7144 1
O2 O 0.2378 0.3337 0.7142 1
```